Record 1
Computed, not measured: PmNd8Dy3 after structural relaxation at the GGA-PBE level of DFT.

Computed properties:
magnetic moment = 0.00 μB/f.u.
energy relative to the elements = 15.4 meV per atom

Cell: 6.2978 6.3128 10.9354 Å, 106.57 90.18 99.52°
With the nearest neighbours (Å) after each atom.
Space group P1 (No. 1)
Asymmetric unit:
Pm  0.0000  0.0000  0.0000 x1  4 Dy 3.61-3.65, 8 Nd 3.62-3.67
Nd  0.0009  0.0022  0.3358 x1  9 Nd 3.63-3.66, 2 Dy 3.65-3.66, 1 Pm 3.67
Nd  0.2496  0.5043  0.5871 x1  8 Nd 3.62-3.68, 4 Dy 3.62-3.65
Nd  0.2512  0.5024  0.2504 x1  2 Dy 3.63-3.65, 9 Nd 3.64-3.69, 1 Pm 3.66
Nd  0.2518  0.5012  0.9174 x1  5 Nd 3.62-3.66, 5 Dy 3.62-3.64, 2 Pm 3.64-3.65
Nd  0.5005  0.0063  0.5049 x1  9 Nd 3.62-3.69, 3 Dy 3.62-3.64
Nd  0.5019  0.0051  0.8354 x1  5 Nd 3.62-3.66, 5 Dy 3.62-3.65, 2 Pm 3.62-3.64
Nd  0.5029  0.0030  0.1678 x1  8 Nd 3.63-3.68, 2 Pm 3.63-3.65, 2 Dy 3.64-3.65
Nd  0.7509  0.5052  0.4198 x1  9 Nd 3.63-3.67, 3 Dy 3.64-3.67
Dy  0.7523  0.5022  0.0834 x1  1 Dy 3.62, 2 Pm 3.63-3.65, 9 Nd 3.63-3.67
Dy  0.7526  0.5048  0.7532 x1  1 Pm 3.61, 3 Dy 3.62-3.64, 8 Nd 3.62-3.65
Dy  0.9990  0.0038  0.6700 x1  1 Pm 3.62, 9 Nd 3.62-3.65, 2 Dy 3.63-3.64



Record 2
Computed, not measured: NaCoSn4 after structural relaxation at the GGA-PBE level of DFT.

Computed properties:
magnetic moment = 0.00 μB/f.u.
energy relative to the elements = 274.5 meV per atom

Cell: 10.4554 10.4554 6.2298 Å, 90.00 90.00 90.00°
With the nearest neighbours (Å) after each atom.
Space group I4_1/amd (No. 141, origin choice 2)
Asymmetric unit:
Na  0.0000  0.2500  0.3750 x4  8 Sn 3.00-3.30, 2 Co 3.11
Co  0.0000  0.2500  0.8750 x4  4 Sn 2.45
Sn  0.0000  0.0275  0.7498 x16  1 Co 2.45



Record 3
Computed, not measured: Li2Ge3Pd4 after structural relaxation at the GGA-PBE level of DFT.

Computed properties:
magnetic moment = 0.00 μB/f.u.
excess energy over the best structure of this formula in the dataset = 0.0217 eV per atom
energy relative to the elements = -498.7 meV per atom

Cell: 5.5812 14.2239 7.5249 Å, 90.00 90.00 90.00°
With the nearest neighbours (Å) after each atom.
Space group Cmce (No. 64)
Asymmetric unit:
Li  0.0000  0.0993  0.0901 x8  8 Pd 2.94-3.27, 4 Ge 2.95-3.20, 1 Li 3.13
Ge  0.0000  0.0000  0.5000 x4  6 Pd 2.50-2.54
Ge  0.2500  0.2386  0.7500 x8  5 Pd 2.51-2.61, 2 Ge 2.79
Pd  0.0000  0.1783  0.4807 x8  5 Ge 2.52-2.61
Pd  0.2500  0.0621  0.7500 x8  3 Ge 2.50-2.51, 2 Pd 2.79



Among the records above, which one has the highest energy relative to the elements? NaCoSn4



What did the third record say?
Computed, not measured: Li2Ge3Pd4 after structural relaxation at the GGA-PBE level of DFT.

Computed properties:
magnetic moment = 0.00 μB/f.u.
excess energy over the best structure of this formula in the dataset = 0.0217 eV per atom
energy relative to the elements = -498.7 meV per atom

Cell: 5.5812 14.2239 7.5249 Å, 90.00 90.00 90.00°
With the nearest neighbours (Å) after each atom.
Space group Cmce (No. 64)
Asymmetric unit:
Li  0.0000  0.0993  0.0901 x8  8 Pd 2.94-3.27, 4 Ge 2.95-3.20, 1 Li 3.13
Ge  0.0000  0.0000  0.5000 x4  6 Pd 2.50-2.54
Ge  0.2500  0.2386  0.7500 x8  5 Pd 2.51-2.61, 2 Ge 2.79
Pd  0.0000  0.1783  0.4807 x8  5 Ge 2.52-2.61
Pd  0.2500  0.0621  0.7500 x8  3 Ge 2.50-2.51, 2 Pd 2.79



The lowest energy relative to the elements belongs to which entry? Li2Ge3Pd4



energy relative to the elements of number 3 (Li2Ge3Pd4)? -498.7 meV per atom